No. 1
Here is crystalline Mg2TaPb at its relaxed geometry from Alexandria via LeMat-Bulk. Energies are from PBE-GGA.

```
Mg2TaPb
1.0
3.1750 0.0000 0.0000
0.0000 5.0788 0.0000
0.0000 0.0000 5.3611
Mg Ta Pb
2 1 1
Cartesian
0.0000 0.0000 0.0000 Mg
1.5875 2.5394 0.0000 Mg
0.0000 2.5394 2.6806 Ta
1.5875 0.0000 2.6806 Pb
```

## Properties
- size of the total moment (Bohr magnetons per cell) = 0.0
- crystal system = orthorhombic
- ΔH_f (0 K) (eV/atom) = 0.402
- space-group type = Pmmm, No. 47

=====

No. 2
Here is crystalline MgTaPb2 at its relaxed geometry from Alexandria via LeMat-Bulk. Energies are from PBE-GGA.

```
MgTaPb2
1.0
0.0000 3.6857 3.6857
3.6857 0.0000 3.6857
3.6857 3.6857 0.0000
Mg Ta Pb
1 1 2
Cartesian
0.0000 0.0000 0.0000 Mg
5.5286 5.5286 5.5286 Ta
1.8429 1.8429 1.8429 Pb
3.6857 3.6857 3.6857 Pb
```

## Properties
- size of the total moment (Bohr magnetons per cell) = 1.9
- crystal system = cubic
- ΔH_f (0 K) (eV/atom) = 0.769
- space-group type = F-43m, No. 216